DFT (PBE) results for KTbUSe4 after structural relaxation.

POSCAR file:
```
KTbUSe4
1.0
-5.147 0.332 -7.145
8.630 -1.006 -0.830
-4.908 -6.513 3.232
K Tb U Se
2 2 2 8
direct
0.877 0.754 0.127
0.123 0.246 0.873
0.500 0.000 0.500
0.500 0.000 0.000
0.500 0.500 0.500
0.000 0.500 0.500
0.736 0.473 0.696
0.305 0.039 0.270
0.734 0.039 0.270
0.736 0.473 0.277
0.264 0.527 0.723
0.695 0.961 0.730
0.266 0.961 0.730
0.264 0.527 0.304
```

The value obtained for the total magnetization is 4.00 μB per cell. The raw total energy comes out at -5.855 eV/atom.



DFT (PBE) results for KTbY4Se8 after structural relaxation.

POSCAR file:
```
KTbY4Se8
1.0
-6.683 -5.233 1.323
-0.226 -4.998 6.983
-5.595 1.689 6.312
K Tb Y Se
1 1 4 8
direct
0.375 0.375 0.876
0.005 0.005 0.985
0.625 0.625 0.125
0.005 0.486 0.505
0.486 0.005 0.505
0.005 0.005 0.505
0.235 0.796 0.734
0.796 0.235 0.734
0.235 0.235 0.734
0.235 0.235 0.296
0.757 0.227 0.258
0.227 0.757 0.258
0.757 0.757 0.258
0.758 0.758 0.727
```

The value obtained for the total magnetization is 0.00 μB per cell. The raw total energy comes out at -6.007 eV/atom.



DFT (PBE) results for KTb4YSe8 after structural relaxation.

POSCAR file:
```
KTb4YSe8
1.0
-1.357 -3.016 7.954
-2.719 -8.095 1.131
5.307 -5.900 3.333
K Tb Y Se
1 4 1 8
direct
0.375 0.375 0.875
0.625 0.625 0.125
0.005 0.486 0.505
0.486 0.005 0.505
0.005 0.005 0.505
0.005 0.005 0.986
0.234 0.796 0.735
0.796 0.234 0.735
0.234 0.234 0.735
0.235 0.235 0.296
0.758 0.227 0.257
0.227 0.758 0.257
0.758 0.758 0.257
0.758 0.758 0.727
```

The value obtained for the total magnetization is 0.00 μB per cell. The raw total energy comes out at -5.610 eV/atom.